An optimized crystal structure of Sb2MoIrI, computed with GGA-PBE.

Output
Calculated volume in Å³ per atom: 28.00
Distance to the lowest polymorph of the same formula in meV per atom: 221
Crystal system: tetragonal
Formation energy (no corrections) in eV per atom: 1.371
E in eV per atom: -4.53

Cell lengths 5.1972, 5.1972, 5.1824 Å; angles 90.00, 90.00, 90.00 degrees
With the nearest neighbours (Å) after each atom.
Element x y z (fractional)
I  0.0000  0.0000  0.5000  2 Mo 2.59
Sb  0.0000  0.5000  0.0000  2 Mo 2.60
Sb  0.5000  0.0000  0.0000  2 Mo 2.60
Mo  0.0000  0.0000  0.0000  2 I 2.59, 4 Sb 2.60
Ir  0.5000  0.5000  0.5000  8 Sb 3.67, 4 I 3.67